# 1
DFT (PBE) results for crystalline PaZn2Co at its relaxed geometry.

For the calculated total energy, the calculation gives -17.560 eV per cell. The density of states at the Fermi level comes out at 1.36 states/eV/atom. Its energy relative to the lowest polymorph listed for this composition is 66.5 kJ/mol of atoms.

```
PaZn2Co
1.0
2.8545 0.0000 0.0000
1.4272 2.4721 0.0000
1.4272 0.8240 10.1385
Zn Pa Co
2 1 1
direct
0.1032 0.1032 0.6904
0.8968 0.8968 0.3096
0.0000 0.0000 0.0000
0.5000 0.5000 0.5000
```

# 2
DFT (PBE) results for crystalline PaZn5Co2 at its relaxed geometry.

For the calculated total energy, the calculation gives -31.831 eV per cell. The density of states at the Fermi level comes out at 0.55 states/eV/atom.

```
PaZn5Co2
1.0
3.2826 0.0000 1.0866
1.2504 5.8265 1.7242
-0.2225 -0.5667 6.1736
Pa Zn Co
1 5 2
direct
0.0000 0.0000 0.0000
0.0000 0.5000 0.5000
0.6550 0.5304 0.1596
0.3450 0.4696 0.8404
0.3450 0.8404 0.4696
0.6550 0.1596 0.5304
0.7040 0.7960 0.7960
0.2960 0.2040 0.2040
```

# 3
DFT (PBE) results for crystalline Pa2Zn3Co4 at its relaxed geometry.

For the calculated total energy, the calculation gives -108.318 eV per cell. The density of states at the Fermi level comes out at 0.46 states/eV/atom.

```
Pa2Zn3Co4
1.0
-0.5954 -4.7488 -2.4610
3.9297 -2.6033 4.0726
-6.0080 0.5998 6.1805
Pa Zn Co
4 6 8
direct
0.1077 0.5826 0.2155
0.8923 0.4174 0.7845
0.3923 0.0826 0.7845
0.6077 0.9174 0.2155
0.0000 0.0000 0.0000
0.5000 0.5000 0.0000
0.5157 0.7500 0.5314
0.9843 0.2500 0.4686
0.4843 0.2500 0.4686
0.0157 0.7500 0.5314
0.6689 0.7500 0.8377
0.8311 0.2500 0.1623
0.3311 0.2500 0.1623
0.1689 0.7500 0.8377
0.1549 0.9588 0.3098
0.8451 0.0412 0.6902
0.3451 0.4588 0.6902
0.6549 0.5412 0.3098
```

# 4
DFT (PBE) results for crystalline ZrPaCo2 at its relaxed geometry.

For the calculated total energy, the calculation gives -33.115 eV per cell. The density of states at the Fermi level comes out at 0.77 states/eV/atom. Its energy relative to the lowest polymorph listed for this composition is 18.0 kJ/mol of atoms.

```
ZrPaCo2
1.0
3.1208 0.0000 0.0000
0.0000 3.1208 0.0000
0.0000 0.0000 6.9557
Pa Co Zr
1 2 1
direct
0.5000 0.5000 0.5000
0.0000 0.0000 0.7778
0.0000 0.0000 0.2222
0.5000 0.5000 0.0000
```

# 5
DFT (PBE) results for crystalline ZrPaCo2 at its relaxed geometry.

For the calculated total energy, the calculation gives -33.863 eV per cell. The density of states at the Fermi level comes out at 0.78 states/eV/atom. Its energy relative to the lowest polymorph listed for this composition is 0.0 kJ/mol of atoms.

```
ZrPaCo2
1.0
-0.6325 -1.1352 3.1704
-3.6021 -1.3357 -1.1969
2.3664 -3.8911 -2.7791
Zr Pa Co
1 1 2
direct
0.4424 0.5000 0.4239
0.7167 0.0000 0.9729
0.1768 0.5000 0.8924
0.9950 0.0000 0.5288
```

# 6
DFT (PBE) results for crystalline Zr3Pa2Co4 at its relaxed geometry.

For the calculated total energy, the calculation gives -75.557 eV per cell. The density of states at the Fermi level comes out at 0.69 states/eV/atom.

```
Zr3Pa2Co4
1.0
-2.9389 1.1070 -1.9973
-0.7461 -5.1193 1.7281
-3.2283 3.9667 6.9487
Zr Pa Co
3 2 4
direct
0.3686 0.7371 0.6049
0.0000 0.0000 0.0000
0.6314 0.2629 0.3951
0.3241 0.6482 0.2235
0.6759 0.3518 0.7765
0.6920 0.3839 0.0743
0.0631 0.1262 0.6327
0.9369 0.8738 0.3673
0.3080 0.6161 0.9257
```

# 7
DFT (PBE) results for crystalline Zr5PaCo2 at its relaxed geometry.

For the calculated total energy, the calculation gives -134.241 eV per cell. The density of states at the Fermi level comes out at 1.26 states/eV/atom.

```
Zr5PaCo2
1.0
-3.8655 -0.9647 0.7828
1.2384 -1.0015 -5.6486
4.0673 -13.6152 3.3057
Zr Pa Co
10 2 4
direct
0.9563 0.9125 0.8871
0.9563 0.9125 0.6129
0.3578 0.7156 0.4731
0.3578 0.7156 0.0269
0.6119 0.2238 0.2500
0.3881 0.7762 0.7500
0.6422 0.2844 0.5269
0.6422 0.2844 0.9731
0.0437 0.0875 0.1129
0.0437 0.0875 0.3871
0.6661 0.3323 0.7500
0.3339 0.6677 0.2500
0.7824 0.5648 0.3766
0.7824 0.5648 0.1234
0.2176 0.4352 0.6234
0.2176 0.4352 0.8766
```

# 8
DFT (PBE) results for crystalline ZrPaCo2 at its relaxed geometry.

For the calculated total energy, the calculation gives -67.673 eV per cell. The density of states at the Fermi level comes out at 0.61 states/eV/atom. Its energy relative to the lowest polymorph listed for this composition is 0.6 kJ/mol of atoms.

```
ZrPaCo2
1.0
-3.4266 1.5824 -0.5983
-3.3419 -6.1167 2.9621
2.3997 6.1026 2.3971
Zr Pa Co
2 2 4
direct
0.2500 0.2682 0.2019
0.7500 0.7318 0.7981
0.7500 0.7219 0.3031
0.2500 0.2781 0.6969
0.2500 0.8199 0.1300
0.7500 0.1801 0.8700
0.7500 0.1921 0.3964
0.2500 0.8079 0.6036
```

# 9
DFT (PBE) results for crystalline ZrPa4Co2 at its relaxed geometry.

For the calculated total energy, the calculation gives -123.029 eV per cell. The density of states at the Fermi level comes out at 1.76 states/eV/atom.

```
ZrPa4Co2
1.0
5.5515 0.0000 -0.1880
0.0000 6.0259 0.0000
-0.2649 0.0000 8.7963
Pa Co Zr
8 4 2
direct
0.6406 0.5161 0.2331
0.8850 0.7500 0.7376
0.1150 0.2500 0.2624
0.6406 0.9839 0.2331
0.8578 0.2500 0.5614
0.3594 0.0161 0.7669
0.3594 0.4839 0.7669
0.1422 0.7500 0.4386
0.6280 0.7500 0.9633
0.3720 0.2500 0.0367
0.4006 0.2500 0.4749
0.5994 0.7500 0.5251
0.1363 0.7500 0.0732
0.8637 0.2500 0.9268
```

# 10
DFT (PBE) results for crystalline ZrPaCo3 at its relaxed geometry.

For the calculated total energy, the calculation gives -79.359 eV per cell. The density of states at the Fermi level comes out at 0.41 states/eV/atom.

```
ZrPaCo3
1.0
5.2000 -0.0017 0.0383
2.5985 4.4954 -0.0246
2.6273 1.4521 7.7735
Zr Pa Co
2 2 6
direct
0.4368 0.5590 0.4882
0.6789 0.8143 0.7405
0.0488 0.1835 0.6320
0.8927 0.0059 0.1307
0.9680 0.0842 0.3923
0.6174 0.2830 0.8650
0.1464 0.7549 0.8635
0.1461 0.2830 0.8643
0.9675 0.5971 0.3929
0.4804 0.0848 0.3913
```

# 11
DFT (PBE) results for crystalline ZrPa2Co9 at its relaxed geometry.

For the calculated total energy, the calculation gives -94.567 eV per cell. The density of states at the Fermi level comes out at 1.49 states/eV/atom.

```
ZrPa2Co9
1.0
4.8155 0.0000 0.0000
2.4078 4.1704 0.0000
2.4078 1.3901 8.1763
Zr Pa Co
1 2 9
direct
0.0000 0.0000 0.0000
0.8627 0.8627 0.4120
0.1373 0.1373 0.5880
0.6668 0.6668 0.9996
0.3332 0.3332 0.0004
0.5000 0.5000 0.5000
0.4196 0.4196 0.2421
0.9188 0.4196 0.2421
0.4196 0.9188 0.2421
0.5804 0.5804 0.7579
0.5804 0.0812 0.7579
0.0812 0.5804 0.7579
```